1.
# TaSnTeN2 PBE optimized geometry
# Distance to the lowest polymorph of the same formula   7.36 eV/f.u.
data_TaSnTeN2
_chemical_formula_sum 'Ta1 Sn1 Te1 N2'
_space_group_name_H-M_alt 'P 4/m m m'
_space_group_IT_number 123
_space_group_name_Hall '-P 4 2'
_cell_length_a 4.0895
_cell_length_b 4.0895
_cell_length_c 5.7425
_cell_angle_alpha 90.00
_cell_angle_beta 90.00
_cell_angle_gamma 90.00
loop_
_atom_site_label
_atom_site_type_symbol
_atom_site_fract_x
_atom_site_fract_y
_atom_site_fract_z
_atom_site_occupancy
Ta1 Ta 0.0000 0.0000 0.0000 1
Sn1 Sn 0.5000 0.5000 0.5000 1
Te1 Te 0.5000 0.5000 0.0000 1
N1 N 0.0000 0.5000 0.5000 1

=====

2.
The following is a DFT calculation (PBE) of a relaxed structure of Tb4SnN.

Structure (CIF):
```
data_Tb4SnN
_chemical_formula_sum 'Tb8 Sn2 N2'
_space_group_name_H-M_alt 'P -1'
_space_group_IT_number 2
_space_group_name_Hall '-P 1'
_cell_length_a 5.8050
_cell_length_b 7.0471
_cell_length_c 8.2000
_cell_angle_alpha 106.23
_cell_angle_beta 110.69
_cell_angle_gamma 90.01
loop_
_atom_site_label
_atom_site_type_symbol
_atom_site_fract_x
_atom_site_fract_y
_atom_site_fract_z
_atom_site_occupancy
Tb1 Tb 0.0567 0.4243 0.2139 1
Tb2 Tb 0.1576 0.9245 0.2139 1
Tb3 Tb 0.2737 0.8127 0.6148 1
Tb4 Tb 0.3410 0.3127 0.6150 1
Sn1 Sn 0.4395 0.2495 0.0000 1
N1 N 0.0000 0.5000 0.5000 1
N2 N 0.5000 0.0000 0.5000 1
```

=====

3.
The following is a DFT calculation (PBE) of a relaxed structure of Tb12Sn3N5.

Structure (CIF):
```
data_Tb12Sn3N5
_chemical_formula_sum 'Tb96 Sn24 N40'
_space_group_name_H-M_alt 'I a -3 d'
_space_group_IT_number 230
_space_group_name_Hall '-I 4bd 2c 3'
_cell_length_a 15.6872
_cell_length_b 15.6872
_cell_length_c 15.6872
_cell_angle_alpha 90.00
_cell_angle_beta 90.00
_cell_angle_gamma 90.00
loop_
_atom_site_label
_atom_site_type_symbol
_atom_site_fract_x
_atom_site_fract_y
_atom_site_fract_z
_atom_site_occupancy
Tb1 Tb 0.0378 0.0498 0.6475 1
Sn1 Sn 0.0000 0.2500 0.1250 1
N1 N 0.0000 0.0000 0.0000 1
N2 N 0.0000 0.2500 0.3750 1
```

=====

4.
# TbSnN PBE optimized geometry
# Distance to the lowest polymorph of the same formula   0.00 eV/f.u.
data_TbSnN
_chemical_formula_sum 'Tb2 Sn2 N2'
_space_group_name_H-M_alt 'P 4/n m m'
_space_group_IT_number 129
_cell_length_a 4.1618
_cell_length_b 4.1618
_cell_length_c 7.8551
_cell_angle_alpha 90.00
_cell_angle_beta 90.00
_cell_angle_gamma 90.00
loop_
_space_group_symop_operation_xyz
'x,y,z'
'-x,-y,-z'
'-y+1/2,x,z'
'y+1/2,-x,-z'
'-x+1/2,-y+1/2,z'
'x+1/2,y+1/2,-z'
'y,-x+1/2,z'
'-y,x+1/2,-z'
'x+1/2,-y,-z'
'-x+1/2,y,z'
'-y,-x,-z'
'y,x,z'
'-x,y+1/2,-z'
'x,-y+1/2,z'
'y+1/2,x+1/2,-z'
'-y+1/2,-x+1/2,z'
loop_
_atom_site_label
_atom_site_type_symbol
_atom_site_fract_x
_atom_site_fract_y
_atom_site_fract_z
_atom_site_occupancy
Tb1 Tb 0.2500 0.2500 0.1161 1
Sn1 Sn 0.2500 0.2500 0.5705 1
N1 N 0.2500 0.7500 0.0000 1

=====

| no. | DOS(E_F) (states/eV/f.u.) | formation energy from raw total energies (eV per formula unit) |
| --- | --- | --- |
| 1 | 5.43 | 8.60 |
| 2 | 4.67 | -4.37 |
| 3 | 11.92 | -18.83 |
| 4 | 2.63 | -2.19 |